Ba2MgSi2 | PBE-GGA | relaxed

V (A^3/atom): 34.62
Energy relative to the elements, uncorrected (eV/atom): 0.82
Crystal system: tetragonal

a b c (Å): 3.3673 3.3673 15.2677
angles (deg): 90.00 90.00 90.00
With the nearest neighbours (Å) after each atom.
Space group P4/mmm (No. 123)
Asymmetric unit:
Ba1 0.0000 0.0000 0.1263 x2  1 Si 3.12, 4 Ba 3.37
Mg1 0.0000 0.0000 0.5000 x1  2 Si 2.58
Si1 0.0000 0.0000 0.3309 x2  1 Mg 2.58